VASP calculation (PBE-GGA) on an optimized crystal structure of AlS2F.

## Properties
For the energy above the lowest structure with this stoichiometry, the calculation gives 10.06 kcal/mol of atoms. The volume is 13.5 Å³ per atom. As for the density of states at the Fermi level: 0.5518 states/eV per atom. Its total magnetization is 0.0 μB/cell. Its space group is Fm-3m, No. 225. The calculation puts the energy relative to the elements, uncorrected at -0.34 eV per atom. The calculation puts the density at 3.39 g/cm³.

CIF file:
```
data_AlS2F
_chemical_formula_sum 'Al1 S2 F1'
_space_group_name_H-M_alt 'P 1'
_space_group_IT_number 1
_cell_length_a 4.2421
_cell_length_b 4.2421
_cell_length_c 4.2421
_cell_angle_alpha 60.00
_cell_angle_beta 60.00
_cell_angle_gamma 60.00
loop_
_space_group_symop_operation_xyz
'x,y,z'
loop_
_atom_site_label
_atom_site_type_symbol
_atom_site_fract_x
_atom_site_fract_y
_atom_site_fract_z
_atom_site_occupancy
S1 S 0.7500 0.7500 0.7500 1
S2 S 0.2500 0.2500 0.2500 1
F1 F 0.0000 0.0000 0.0000 1
Al1 Al 0.5000 0.5000 0.5000 1
```